H2SeBr | PBE-GGA | relaxed

Unit cell a=5.854 b=5.854 c=5.854 alpha=90.00 beta=90.00 gamma=90.00
Space group Fm-3m (No. 225)
Symmetry-distinct sites (fractional):
H (0.250, 0.250, 0.250)
Se (0.000, 0.000, 0.000)
Br (0.000, 0.000, 0.500)

Properties
- ρ: 5.3 g cm⁻³
- VASP energy: -0.0632 hartree per atom

---

K2ZnPd2 | PBE-GGA | relaxed

Unit cell a=6.702 b=6.702 c=5.349 alpha=90.00 beta=90.00 gamma=90.00
Space group P4/mbm (No. 127)
Symmetry-distinct sites (fractional):
K (0.175, 0.325, 0.000)
Zn (0.000, 0.000, 0.500)
Pd (0.143, 0.643, 0.500)

Properties
- ρ: 4.9 g cm⁻³
- VASP energy: -0.1046 hartree per atom

---

PmNdPb2O8 | PBE-GGA | relaxed

Unit cell a=5.700 b=5.700 c=10.871 alpha=90.00 beta=90.00 gamma=90.00
Space group I-4 (No. 82)
Symmetry-distinct sites (fractional):
Pm (0.000, 0.000, 0.000)
Nd (0.000, 0.500, 0.750)
Pb (0.000, 0.000, 0.500)
Pb (0.000, 0.500, 0.250)
O (0.201, 0.754, 0.152)
O (0.204, 0.253, 0.596)

Properties
- ρ: 7.8 g cm⁻³
- Formation energy from raw total energies: -1.711 eV/atom

---

MnNbTcAs2 | PBE-GGA | relaxed

Unit cell a=4.933 b=4.933 c=4.689 alpha=90.00 beta=90.00 gamma=90.00
Space group P4/mmm (No. 123)
Symmetry-distinct sites (fractional):
Mn (0.000, 0.000, 0.000)
Nb (0.500, 0.500, 0.500)
Tc (0.500, 0.500, 0.000)
As (0.000, 0.500, 0.500)

Properties
- ρ: 5.8 g cm⁻³
- VASP energy: -0.2270 hartree per atom

---

Sm8OsPb2 | PBE-GGA | relaxed

Unit cell a=19.713 b=5.158 c=6.873 alpha=90.00 beta=107.38 gamma=90.00
Space group C2/m (No. 12)
Symmetry-distinct sites (fractional):
Sm (0.015, 0.000, 0.288)
Sm (0.088, 0.500, 0.951)
Sm (0.144, 0.500, 0.494)
Sm (0.216, 0.000, 0.820)
Os (0.000, 0.500, 0.500)
Pb (0.178, 0.000, 0.247)

Properties
- ρ: 9.0 g cm⁻³
- VASP energy: -0.1973 hartree per atom

---

Ac3La3TlPb2 | PBE-GGA | relaxed

Unit cell a=9.1438 b=9.1438 c=4.5554 alpha=90.00 beta=90.00 gamma=120.00
Space group P-62m (No. 189)
Symmetry-distinct sites (fractional):
Ac (0.0000, 0.7301, 0.0000)
La (0.0000, 0.4089, 0.5000)
Tl (0.0000, 0.0000, 0.5000)
Pb (0.3333, 0.6667, 0.0000)

Properties
- ρ: 8.6 g cm⁻³
- VASP energy: -0.1635 hartree per atom

---

Dy2HoO | PBE-GGA | relaxed

Unit cell a=3.5184 b=3.5184 c=25.9594 alpha=90.00 beta=90.00 gamma=120.00
Space group R-3m (No. 166, hexagonal axes)
Symmetry-distinct sites (fractional):
Dy (0.0000, 0.0000, 0.2194)
Ho (0.0000, 0.0000, 0.0000)
O (0.0000, 0.0000, 0.5000)

Properties
- ρ: 9.1 g cm⁻³
- Formation energy from raw total energies: -1.343 eV/atom

---

Ta2As2P | PBE-GGA | relaxed

Unit cell a=7.042 b=7.042 c=3.472 alpha=90.00 beta=90.00 gamma=90.00
Space group P4/mbm (No. 127)
Symmetry-distinct sites (fractional):
Ta (0.154, 0.346, 0.000)
As (0.141, 0.641, 0.500)
P (0.000, 0.000, 0.000)

Properties
- ρ: 10.5 g cm⁻³
- VASP energy: -0.2918 hartree per atom

---

> Look up the ρ of the fourth one.

5.8 g cm⁻³